*1*
# Ta3RuCl

A relaxed structure of Ta3RuCl (PBE, the Alexandria database).

Cell and atoms, written as POSCAR:
```
Ta3RuCl
1.0
4.4727 0.0000 0.0000
0.0000 4.4727 0.0000
0.0000 0.0000 4.4727
Ta Ru Cl
3 1 1
Direct
0.0000 0.0000 0.5000
0.0000 0.5000 0.0000
0.5000 0.0000 0.0000
0.5000 0.5000 0.5000
0.0000 0.0000 0.0000
```

Values from the calculation:
- volume (A^3/atom) = 17.9

***

*2*
# Ta3RuCl

A relaxed structure of Ta3RuCl (PBE, the Alexandria database).

Cell and atoms, written as POSCAR:
```
Ta3RuCl
1.0
4.8600 0.0000 0.0000
0.0000 4.8600 0.0000
0.0000 0.0000 4.8600
Ta Ru Cl
3 1 1
Direct
0.0000 0.0000 0.5000
0.0000 0.5000 0.0000
0.5000 0.0000 0.0000
0.0000 0.0000 0.0000
0.5000 0.5000 0.5000
```

Values from the calculation:
- volume (A^3/atom) = 23.0

***

Top of the stability list: *1*, leading by 0.264 eV/atom.

***

*1*
# TcRu3Cl

A relaxed structure of TcRu3Cl (PBE, the Alexandria database).

Cell and atoms, written as POSCAR:
```
TcRu3Cl
1.0
4.7310 0.0000 0.0000
0.0000 4.7310 0.0000
0.0000 0.0000 4.7310
Tc Ru Cl
1 3 1
Direct
0.0000 0.0000 0.0000
0.0000 0.0000 0.5000
0.0000 0.5000 0.0000
0.5000 0.0000 0.0000
0.5000 0.5000 0.5000
```

Values from the calculation:
- volume (A^3/atom) = 21.2

***

*2*
# TcRu3Cl

A relaxed structure of TcRu3Cl (PBE, the Alexandria database).

Cell and atoms, written as POSCAR:
```
TcRu3Cl
1.0
4.3173 0.0000 0.0000
0.0000 4.3173 0.0000
0.0000 0.0000 4.3173
Tc Ru Cl
1 3 1
Direct
0.0000 0.0000 0.0000
0.0000 0.5000 0.5000
0.5000 0.0000 0.5000
0.5000 0.5000 0.0000
0.5000 0.5000 0.5000
```

Values from the calculation:
- volume (A^3/atom) = 16.1

***

Top of the stability list: *2*, leading by 0.374 eV/atom.

***

*1*
# Te3RuCl

A relaxed structure of Te3RuCl (PBE, the Alexandria database).

Cell and atoms, written as POSCAR:
```
Te3RuCl
1.0
5.2228 0.0000 0.0000
0.0000 5.2228 0.0000
0.0000 0.0000 5.2228
Te Ru Cl
3 1 1
Direct
0.0000 0.0000 0.5000
0.0000 0.5000 0.0000
0.5000 0.0000 0.0000
0.0000 0.0000 0.0000
0.5000 0.5000 0.5000
```

Values from the calculation:
- volume (A^3/atom) = 28.5

***

*2*
# Te3RuCl

A relaxed structure of Te3RuCl (PBE, the Alexandria database).

Cell and atoms, written as POSCAR:
```
Te3RuCl
1.0
5.3053 0.0000 0.0000
0.0000 5.3053 0.0000
0.0000 0.0000 5.3053
Te Ru Cl
3 1 1
Direct
0.0000 0.0000 0.5000
0.0000 0.5000 0.0000
0.5000 0.0000 0.0000
0.5000 0.5000 0.5000
0.0000 0.0000 0.0000
```

Values from the calculation:
- volume (A^3/atom) = 29.9

***

Top of the stability list: *1*, leading by 1.002 eV/atom.